{"formula": "Nd8Ru3Au2", "functional": "PBE", "state": "optimized geometry", "lattice": [[8.8456, 0.0000, 0.0000], [0.0000, 5.0008, 0.0000], [-3.1206, 0.0000, 8.2900]], "species": ["Nd", "Nd", "Nd", "Nd", "Nd", "Nd", "Nd", "Nd", "Ru", "Ru", "Ru", "Au", "Au"], "frac_coords": [[0.1147, 0.0000, 0.3860], [0.1380, 0.5000, 0.8689], [0.3699, 0.5000, 0.6381], [0.3821, 0.0000, 0.1175], [0.6179, 0.0000, 0.8825], [0.6301, 0.5000, 0.3619], [0.8620, 0.5000, 0.1311], [0.8853, 0.0000, 0.6140], [0.2513, 0.0000, 0.7512], [0.5000, 0.5000, 0.0000], [0.7487, 0.0000, 0.2488], [0.2444, 0.5000, 0.2557], [0.7556, 0.5000, 0.7443]], "formation_enthalpy_0k_ev_per_fu": -4.10, "total_energy_ev_per_atom": -5.89}

---

{"formula": "TbCu6Au6", "functional": "PBE", "state": "optimized geometry", "lattice": [[-2.5864, 4.4950, 4.5102], [2.5864, -4.4950, 4.5102], [2.5864, 4.4950, -4.5102]], "species": ["Tb", "Cu", "Cu", "Cu", "Cu", "Cu", "Cu", "Au", "Au", "Au", "Au", "Au", "Au"], "frac_coords": [[0.0000, 0.0000, 0.0000], [0.0000, 0.0000, 0.5000], [0.0000, 0.5000, 0.0000], [0.2372, 0.7372, 0.5000], [0.5000, 0.0000, 0.0000], [0.5000, 0.5000, 0.5000], [0.7628, 0.2628, 0.5000], [0.1846, 0.5000, 0.6846], [0.3355, 0.3355, 0.0000], [0.3414, 0.0000, 0.3414], [0.6586, 0.0000, 0.6586], [0.6645, 0.6645, 0.0000], [0.8154, 0.5000, 0.3154]], "formation_enthalpy_0k_ev_per_fu": -3.19, "total_energy_ev_per_atom": -4.00}

---

{"formula": "CeTc2B2", "functional": "PBE", "state": "optimized geometry", "lattice": [[4.3348, 0.0000, 0.0000], [0.0000, 3.1800, 0.0000], [-0.9467, 0.0000, 9.8597]], "species": ["Ce", "Ce", "Tc", "Tc", "Tc", "Tc", "B", "B", "B", "B"], "frac_coords": [[0.1944, 0.2500, 0.2426], [0.8056, 0.7500, 0.7574], [0.2486, 0.7500, 0.4945], [0.3484, 0.2500, 0.9055], [0.6516, 0.7500, 0.0945], [0.7514, 0.2500, 0.5055], [0.1234, 0.7500, 0.0158], [0.2830, 0.2500, 0.6503], [0.7170, 0.7500, 0.3497], [0.8766, 0.2500, 0.9842]], "polymorph_energy_ev_per_atom": 0.073, "formation_enthalpy_0k_ev_per_fu": -1.57, "total_energy_ev_per_atom": -8.32}

---

{"formula": "PmSmHg", "functional": "PBE", "state": "optimized geometry", "lattice": [[2.6073, 1.5053, 8.5109], [-2.6073, 1.5053, 8.5109], [0.0000, -3.0106, 8.5109]], "species": ["Pm", "Pm", "Sm", "Sm", "Hg", "Hg"], "frac_coords": [[0.1249, 0.1249, 0.1249], [0.8751, 0.8751, 0.8751], [0.3749, 0.3749, 0.3749], [0.6251, 0.6251, 0.6251], [0.2507, 0.2507, 0.2507], [0.7493, 0.7493, 0.7493]], "polymorph_energy_ev_per_atom": 0.240, "formation_enthalpy_0k_ev_per_fu": -0.29, "total_energy_ev_per_atom": -3.35}

---

{"formula": "PuSiMo", "functional": "PBE", "state": "optimized geometry", "lattice": [[6.1615, 0.0000, 0.0000], [0.0000, 5.7580, 0.0000], [-2.1739, 0.0000, 6.2839]], "species": ["Pu", "Pu", "Pu", "Pu", "Si", "Si", "Si", "Si", "Mo", "Mo", "Mo", "Mo"], "frac_coords": [[0.1789, 0.1085, 0.4100], [0.1789, 0.3915, 0.9100], [0.8211, 0.6085, 0.0900], [0.8211, 0.8915, 0.5900], [0.1857, 0.6006, 0.5152], [0.1857, 0.8994, 0.0152], [0.8143, 0.1006, 0.9848], [0.8143, 0.3994, 0.4848], [0.4481, 0.6424, 0.3037], [0.4481, 0.8576, 0.8037], [0.5519, 0.1424, 0.1963], [0.5519, 0.3576, 0.6963]], "raw_formation_energy_ev_per_atom": -0.201, "total_energy_ev_per_atom": -10.40}

---

{"formula": "EuThAl2", "functional": "PBE", "state": "optimized geometry", "lattice": [[3.4475, 0.0000, 0.0000], [0.0000, 3.4475, 0.0000], [0.0000, 0.0000, 8.7306]], "species": ["Eu", "Th", "Al", "Al"], "frac_coords": [[0.0000, 0.0000, 0.0000], [0.0000, 0.0000, 0.5000], [0.5000, 0.5000, 0.2532], [0.5000, 0.5000, 0.7468]], "polymorph_energy_ev_per_atom": 0.000, "formation_enthalpy_0k_ev_per_fu": -0.92, "total_energy_ev_per_atom": -6.53}

---

{"formula": "CdNiPS2", "functional": "PBE", "state": "optimized geometry", "lattice": [[4.8015, 0.0000, 0.0000], [0.0000, 4.8015, 0.0000], [0.0000, 0.0000, 4.1094]], "species": ["Cd", "Ni", "P", "S", "S"], "frac_coords": [[0.0000, 0.0000, 0.0000], [0.5000, 0.5000, 0.5000], [0.5000, 0.5000, 0.0000], [0.0000, 0.5000, 0.5000], [0.5000, 0.0000, 0.5000]], "polymorph_energy_ev_per_atom": 0.000, "raw_formation_energy_ev_per_atom": 0.328, "total_energy_ev_per_atom": -3.74}

---

{"formula": "PrDy3Mg4", "functional": "PBE", "state": "optimized geometry", "lattice": [[5.3892, 0.0000, 0.0000], [0.0000, 5.3892, 0.0000], [0.0000, 0.0000, 7.6612]], "species": ["Pr", "Dy", "Dy", "Dy", "Mg", "Mg", "Mg", "Mg"], "frac_coords": [[0.0000, 0.0000, 0.0000], [0.0000, 0.0000, 0.5000], [0.5000, 0.5000, 0.0000], [0.5000, 0.5000, 0.5000], [0.0000, 0.5000, 0.2558], [0.0000, 0.5000, 0.7442], [0.5000, 0.0000, 0.2558], [0.5000, 0.0000, 0.7442]], "formation_enthalpy_0k_ev_per_fu": -0.71, "total_energy_ev_per_atom": -3.21}

---

{"formula": "La2TcBS", "functional": "PBE", "state": "optimized geometry", "lattice": [[5.3948, 0.0000, 0.0000], [0.0000, 5.3948, 0.0000], [0.0000, 0.0000, 3.9483]], "species": ["La", "La", "Tc", "B", "S"], "frac_coords": [[0.0000, 0.5000, 0.0000], [0.5000, 0.0000, 0.0000], [0.0000, 0.0000, 0.5000], [0.0000, 0.0000, 0.0000], [0.5000, 0.5000, 0.5000]], "raw_formation_energy_ev_per_atom": -0.434, "total_energy_ev_per_atom": -6.64}

---

{"formula": "K2PH2", "functional": "PBE", "state": "optimized geometry", "lattice": [[6.3796, 0.0000, 0.0000], [0.0000, 6.3796, 0.0000], [0.0000, 0.0000, 4.4742]], "species": ["K", "K", "K", "K", "P", "P", "H", "H", "H", "H"], "frac_coords": [[0.1685, 0.3315, 0.0000], [0.3315, 0.8315, 0.0000], [0.6685, 0.1685, 0.0000], [0.8315, 0.6685, 0.0000], [0.0000, 0.0000, 0.5000], [0.5000, 0.5000, 0.5000], [0.1968, 0.6968, 0.5000], [0.3032, 0.1968, 0.5000], [0.6968, 0.8032, 0.5000], [0.8032, 0.3032, 0.5000]], "polymorph_energy_ev_per_atom": 0.218, "total_energy_ev_per_atom": -2.61}

---

{"formula": "ZnTe2Au", "functional": "PBE", "state": "optimized geometry", "lattice": [[-1.9826, 1.9826, 6.6886], [1.9826, -1.9826, 6.6886], [1.9826, 1.9826, -6.6886]], "species": ["Zn", "Te", "Te", "Au"], "frac_coords": [[0.0000, 0.0000, 0.0000], [0.5000, 0.5000, 0.0000], [0.7500, 0.2500, 0.5000], [0.2500, 0.7500, 0.5000]], "raw_formation_energy_ev_per_atom": 0.125, "total_energy_ev_per_atom": -2.58}

---

{"formula": "BaLiAlGa", "functional": "PBE", "state": "optimized geometry", "lattice": [[3.9061, -2.2580, 0.0000], [3.9061, 2.2580, 0.0000], [-2.6233, 0.0000, 5.9831]], "species": ["Ba", "Li", "Al", "Ga"], "frac_coords": [[0.0000, 0.0000, 0.0000], [0.8075, 0.8075, 0.4245], [0.5073, 0.5073, 0.5238], [0.2028, 0.2028, 0.6102]], "polymorph_energy_ev_per_atom": 0.000, "formation_enthalpy_0k_ev_per_fu": -1.13, "total_energy_ev_per_atom": -2.93}